Entry 1:
This record from Alexandria describes a geometry-optimized SrZnCd2Pt2 structure. The functional is PBE.

Lattice parameters (Å, degrees): 5.3615 5.3615 10.9512 90.00 90.00 90.00
Closest atoms and distances in Å follow each position.
Space group I4/mmm (No. 139)
Asymmetric unit:
Sr (0.0000, 0.0000, 0.0000) x2  2 Pt 3.06
Zn (0.0000, 0.0000, 0.5000) x2  2 Pt 2.42
Cd (0.0000, 0.5000, 0.2500) x4  4 Pt 2.70
Pt (0.0000, 0.0000, 0.2794) x4  1 Zn 2.42, 4 Cd 2.70

For the size of the total moment, the calculation gives 0.000 μB/f.u. The calculation puts the formation energy from the elements at -0.2906 eV/atom.



Entry 2:
This record from Alexandria describes a geometry-optimized CdAgAsRu2 structure. The functional is PBE.

Lattice parameters (Å, degrees): 4.9175 4.9175 4.9518 90.00 90.00 90.00
Closest atoms and distances in Å follow each position.
Space group P4/mmm (No. 123)
Asymmetric unit:
Cd (0.0000, 0.0000, 0.0000) x1  2 Ag 2.48
Ag (0.0000, 0.0000, 0.5000) x1  4 Ru 2.46, 2 Cd 2.48
As (0.5000, 0.5000, 0.0000) x1  4 Cd 3.48, 8 Ru 3.49
Ru (0.0000, 0.5000, 0.5000) x2  2 Ag 2.46

For the size of the total moment, the calculation gives 4.284 μB/f.u. The calculation puts the formation energy from the elements at 1.7615 eV/atom.



Entry 3:
This record from Alexandria describes a geometry-optimized Er3ZnRh8 structure. The functional is PBE.

Lattice parameters (Å, degrees): 5.2604 5.2604 25.8591 90.00 90.00 120.00
Closest atoms and distances in Å follow each position.
Space group R3m (No. 160, hexagonal axes)
Asymmetric unit:
Er (0.0000, 0.0000, 0.0000) x3  12 Rh 2.98-3.14, 3 Zn 3.14
Er (0.0000, 0.0000, 0.1292) x3  12 Rh 3.09-3.12, 4 Er 3.30-3.34
Er (0.0000, 0.0000, 0.5121) x3  12 Rh 3.00-3.28, 1 Zn 3.19, 3 Er 3.30
Zn (0.0000, 0.0000, 0.6353) x3  12 Rh 2.95-3.16, 4 Er 3.14-3.19
Rh (0.0000, 0.0000, 0.3168) x3  6 Rh 2.61-2.63
Rh (0.0000, 0.0000, 0.8170) x3  6 Rh 2.65
Rh (0.9996, 0.4998, 0.0665) x9  6 Rh 2.63-2.65
Rh (0.1670, 0.3339, 0.9011) x9  6 Rh 2.61-2.65

For the size of the total moment, the calculation gives 0.000 μB/f.u. The calculation puts the formation energy from the elements at -0.5916 eV/atom.



Entry 4:
This record from Alexandria describes a geometry-optimized Np2ScUAs4 structure. The functional is PBE.

Lattice parameters (Å, degrees): 6.9954 4.0218 7.0303 90.00 109.08 90.00
Closest atoms and distances in Å follow each position.
Space group P2/m (No. 10)
Asymmetric unit:
Np (0.0000, 0.0000, 0.0000) x1  6 As 2.87
Np (0.5000, 0.5000, 0.0000) x1  6 As 2.92
Sc (0.0000, 0.5000, 0.5000) x1  6 As 2.79-2.81
U (0.5000, 0.0000, 0.5000) x1  6 As 2.85
As (0.2415, 0.0000, 0.7395) x2  2 Sc 2.81, 1 U 2.85, 3 Np 2.87-2.92
As (0.2455, 0.5000, 0.2573) x2  1 Sc 2.79, 2 U 2.85, 3 Np 2.87-2.92

For the size of the total moment, the calculation gives 5.801 μB/f.u. The calculation puts the formation energy from the elements at -0.8340 eV/atom.



Q: What is the size of the total moment in the third record?
A: 0.000 μB/f.u.



Q: Look up the size of the total moment of the second one.
A: 4.284 μB/f.u.



Q: What is the formula in the third record?
A: Er3ZnRh8